# Na2CoRh2O6, relaxed, DFT PBE with a Hubbard U
# - Total magnetization: 2.103 μB per cell
# - V: 256 Å³ per cell
# - Raw total energy: -64.143 eV per formula unit
data_Na2CoRh2O6
_symmetry_space_group_name_H-M 'C 1 2/m 1'
_symmetry_Int_Tables_number 12
_symmetry_space_group_name_Hall '-C 2y'
_cell_length_a 5.347
_cell_length_b 8.778
_cell_length_c 5.692
_cell_angle_alpha 90.00
_cell_angle_beta 106.69
_cell_angle_gamma 90.00
loop_
_atom_site_label
_atom_site_fract_x
_atom_site_fract_y
_atom_site_fract_z
Na1 0.000 0.174 0.000
Co1 0.000 0.000 0.500
Rh1 0.000 0.341 0.500
O1 0.218 0.164 0.684
O2 0.240 0.000 0.301